## one
KLa2Tc PBE relaxed; calculated volume = 34.56 Å³/atom; M_tot = 0.0 Bohr magnetons per cell; symmetry = Immm, No. 71
1.0
-4.322 -2.938 3.812
1.808 -6.206 0.233
1.749 6.026 1.571
K La Tc
1 2 1
direct
0.250 0.750 0.500 K
0.927 0.927 0.000 La
0.573 0.573 0.000 La
0.750 0.250 0.500 Tc


## two
KLa2Tc PBE relaxed; calculated volume = 39.51 Å³/atom; M_tot = 0.0 Bohr magnetons per cell; symmetry = Amm2, No. 38
1.0
3.788 0.000 0.000
0.000 4.469 0.055
0.000 2.122 9.364
K La Tc
1 2 1
direct
0.500 0.578 0.720 K
0.000 0.896 0.083 La
0.500 0.256 0.364 La
0.000 0.771 0.333 Tc


## three
KLa2Tc PBE relaxed; calculated volume = 27.33 Å³/atom; M_tot = 0.0 Bohr magnetons per cell; symmetry = F-43m, No. 216
1.0
5.367 0.000 0.000
2.684 4.648 0.000
2.684 1.549 4.382
K La Tc
1 2 1
direct
0.500 0.500 0.500 K
0.000 0.000 0.000 La
0.250 0.250 0.250 La
0.750 0.750 0.750 Tc


Energy above the most stable structure, in eV/atom: one 0.150; two 0.000; three 0.635


## one
KLa2Tc PBE relaxed; calculated volume = 27.42 Å³/atom; M_tot = 0.0 Bohr magnetons per cell; symmetry = Fm-3m, No. 225
1.0
4.746 -1.565 -1.974
1.286 -5.216 -0.084
0.228 -2.636 -4.677
K Tc La
1 1 2
direct
0.000 0.000 0.000 K
0.500 0.500 0.500 Tc
0.250 0.250 0.250 La
0.750 0.750 0.750 La


## two
KLa2Tc PBE relaxed; calculated volume = 27.85 Å³/atom; M_tot = 0.0 Bohr magnetons per cell; symmetry = C2/m, No. 12
1.0
6.686 0.002 0.006
-3.294 5.340 0.016
0.098 0.994 3.123
K La Tc
1 2 1
direct
0.500 0.500 0.000 K
0.000 0.000 0.000 La
0.500 0.000 0.500 La
0.000 0.500 0.500 Tc


Energy above the most stable structure, in eV/atom: one 0.000; two 0.296


## one
KLa2Tc PBE relaxed; calculated volume = 31.91 Å³/atom; M_tot = 0.0 Bohr magnetons per cell; symmetry = Cmm2, No. 35
1.0
-2.169 2.064 1.693
1.733 -2.189 2.008
8.627 8.012 1.289
K La Tc
1 2 1
direct
0.500 0.500 0.700 K
0.000 0.000 0.026 La
0.500 0.500 0.313 La
0.000 0.000 0.461 Tc


## two
KLa2Tc PBE relaxed; calculated volume = 38.88 Å³/atom; M_tot = 0.0 Bohr magnetons per cell; symmetry = Imm2, No. 44
1.0
11.372 0.675 -0.355
9.860 5.706 0.355
-10.554 -3.395 2.642
K La Tc
1 2 1
direct
0.307 0.807 0.500 K
0.991 0.991 0.000 La
0.641 0.141 0.500 La
0.561 0.561 0.000 Tc


## three
KLa2Tc PBE relaxed; calculated volume = 51.14 Å³/atom; M_tot = 0.0 Bohr magnetons per cell; symmetry = I-42d, No. 122
1.0
8.332 0.000 0.000
0.000 8.332 0.000
4.166 4.166 5.894
K Tc La
2 2 4
direct
0.500 0.500 0.000 K
0.250 0.750 0.500 K
0.000 0.000 0.000 Tc
0.750 0.250 0.500 Tc
0.874 0.125 0.250 La
0.876 0.625 0.250 La
0.375 0.126 0.750 La
0.875 0.124 0.750 La


## four
KLa2Tc PBE relaxed; calculated volume = 35.68 Å³/atom; M_tot = 0.0 Bohr magnetons per cell; symmetry = P4/mmm, No. 123
1.0
3.598 0.000 0.000
0.000 3.598 0.000
0.000 0.000 11.023
K La Tc
1 2 1
direct
0.500 0.500 0.750 K
0.000 0.000 0.095 La
0.000 0.000 0.405 La
0.500 0.500 0.250 Tc


Energy above the most stable structure, in eV/atom: one 0.443; two 0.126; three 0.172; four 0.000